Material: Ca8As5S
Method: DFT, PBE
State: relaxed

Values from the calculation:
Formation energy without anion corrections ... -29.5 kcal/mol of atoms
Crystal system ... tetragonal
Calculated volume ... 355 Å³/cell
Total magnetization ... 0.0 μB/f.u.

Cell: 7.7245 7.7245 7.7245 Å, 109.69 109.04 109.69°
With the nearest neighbours (Å) after each atom.
Fractional positions:
Ca  0.1320  0.7496  0.0111  1 S 2.89, 4 As 2.94-3.23
Ca  0.9889  0.1209  0.7385  1 S 2.89, 4 As 2.94-3.23
Ca  0.7576  0.2457  0.3656  5 As 2.95-3.21, 1 S 3.29
Ca  0.6344  0.3920  0.8800  5 As 2.95-3.21, 1 S 3.29
Ca  0.4880  0.6080  0.2424  5 As 2.95-3.21, 1 S 3.29
Ca  0.6176  0.8791  0.8680  1 S 2.89, 4 As 2.94-3.23
Ca  0.2615  0.2504  0.3824  1 S 2.89, 4 As 2.94-3.23
Ca  0.1200  0.7543  0.5120  5 As 2.95-3.21, 1 S 3.29
As  0.0072  0.3802  0.1309  7 Ca 2.94-3.23
As  0.8691  0.8763  0.2493  7 Ca 2.94-3.23
As  0.7507  0.6198  0.6271  7 Ca 2.94-3.23
As  0.5000  0.0000  0.5000  8 Ca 2.96-3.23
As  0.3729  0.1237  0.9928  7 Ca 2.94-3.23
S  0.2500  0.5000  0.7500  4 Ca 2.89

Material: InHgSb2
Method: DFT, PBE
State: relaxed

Values from the calculation:
Formation energy without anion corrections ... 3.5 kcal/mol of atoms
Crystal system ... tetragonal
E above lowest polymorph ... 0.109 eV/atom
Calculated volume ... 111 Å³/cell
Total magnetization ... 0.0 μB/f.u.

Cell: 3.1673 3.1673 11.0991 Å, 90.00 90.00 90.00°
With the nearest neighbours (Å) after each atom.
Fractional positions:
Hg  0.0000  0.0000  0.5003  4 Hg 3.17
In  0.5000  0.5000  0.7539  4 In 3.17, 4 Sb 3.51
Sb  0.0000  0.0000  0.9978  4 Sb 3.17, 4 In 3.51
Sb  0.5000  0.5000  0.2480  4 Sb 3.17